First-principles (GGA-PBE) data for a relaxed UNiPbS3 crystal, as listed in Alexandria via LeMat-Bulk.

The structure in CIF format:
```
data_UNiPbS3
_chemical_formula_sum 'U2 Ni2 Pb2 S6'
_symmetry_space_group_name_H-M 'P 1'
_symmetry_Int_Tables_number 1
_cell_length_a 8.3101
_cell_length_b 3.8915
_cell_length_c 8.6605
_cell_angle_alpha 90.00
_cell_angle_beta 103.70
_cell_angle_gamma 90.00
loop_
_symmetry_equiv_pos_as_xyz
'x,y,z'
loop_
_atom_site_label
_atom_site_fract_x
_atom_site_fract_y
_atom_site_fract_z
_atom_site_occupancy
U1 0.1692 0.2500 0.1641 1
U2 0.8308 0.7500 0.8359 1
Ni1 0.4252 0.7500 0.4005 1
Ni2 0.5748 0.2500 0.5995 1
Pb1 0.3363 0.7500 0.7312 1
Pb2 0.6637 0.2500 0.2688 1
S1 0.0620 0.2500 0.8382 1
S2 0.2971 0.2500 0.4710 1
S3 0.3843 0.7500 0.1308 1
S4 0.6157 0.2500 0.8692 1
S5 0.7029 0.7500 0.5290 1
S6 0.9380 0.7500 0.1618 1
```

## Properties
Magnetic moment, μB per formula unit: 2.005
Formation energy without anion corrections, eV/f.u.: -5.05
SG: P2_1/m (11)